Here is a relaxed Gd2NiRuO6 crystal from the Alexandria database. Energies are from GGA+U.

Cell: 5.3602 5.7582 9.3763 Å, 90.00 124.80 90.00°
Fractional positions:
Gd1 0.2256 0.0759 0.2488
Gd2 0.2256 0.4241 0.7488
Gd3 0.7744 0.5759 0.2512
Gd4 0.7744 0.9241 0.7512
Ni1 0.0000 0.0000 0.5000
Ni2 0.0000 0.5000 0.0000
Ru1 0.5000 0.0000 0.0000
Ru2 0.5000 0.5000 0.5000
O1 0.1345 0.1913 0.9442
O2 0.1345 0.3087 0.4442
O3 0.2578 0.6999 0.9403
O4 0.2578 0.8001 0.4403
O5 0.3692 0.0391 0.7529
O6 0.3692 0.4609 0.2529
O7 0.6308 0.5391 0.7471
O8 0.6308 0.9609 0.2471
O9 0.7422 0.1999 0.5597
O10 0.7422 0.3001 0.0597
O11 0.8655 0.6913 0.5558
O12 0.8655 0.8087 0.0558

The uncorrected energy is -9.212 eV/atom. Its mass density is 7970 kg/m³. Its density of states at the Fermi level is 5.26 states/eV/f.u.